Below is an optimized crystal structure of Cs3ZnP2, with properties calculated at the PBE-GGA level.

Output
Uncorrected energy = -2.637 eV per atom
DOS at the Fermi energy = 6.82 states/eV per cell
Calculated density = 3.835 Mg/m³

Cell lengths 9.2378, 9.2378, 9.2378 Å; angles 126.36, 74.34, 132.62 degrees
Last column: nearest neighbours and their distance in Å.
Fractional positions:
1 Cs 0.1780 0.7009 0.8788  2 P 3.37-3.66, 2 Zn 3.62
2 Cs 0.2500 0.2500 0.0000  4 P 3.57, 2 Cs 3.71
3 Cs 0.3220 0.2009 0.5229  2 P 3.37-3.66, 2 Zn 3.62
4 Cs 0.6780 0.7991 0.4771  2 P 3.37-3.66, 2 Zn 3.62
5 Cs 0.7500 0.7500 0.0000  4 P 3.57, 2 Cs 3.71
6 Cs 0.8220 0.2991 0.1212  2 P 3.37-3.66, 2 Zn 3.62
7 Zn 0.2500 0.7500 0.5000  4 P 2.48
8 Zn 0.7500 0.2500 0.5000  4 P 2.48
9 P 0.0691 0.3449 0.4140  2 Zn 2.48
10 P 0.4309 0.8449 0.2758  2 Zn 2.48
11 P 0.5691 0.1551 0.7242  2 Zn 2.48
12 P 0.9309 0.6551 0.5860  2 Zn 2.48